Material: LaCd2Rh
Method: DFT, PBE
State: relaxed Values from VASP.

Electronic total energy (eV per atom): -3.719
ΔE_f (eV per formula unit): -0.77
Fermi-level density of states (states/eV per cell): 2.7
Crystal system: orthorhombic

```
&SYSTEM
  ibrav = 0, nat = 4, ntyp = 3
/
ATOMIC_SPECIES
La 138.91 La.upf
Cd 112.41 Cd.upf
Rh 102.91 Rh.upf
CELL_PARAMETERS angstrom
3.301 0.000 0.000
0.000 4.777 0.000
0.000 0.000 5.670
ATOMIC_POSITIONS angstrom
La 0.000 0.000 0.000
Cd 1.651 2.389 1.520
Cd 1.651 2.389 4.150
Rh 0.000 0.000 2.835
```

Material: TlHg2P
Method: DFT, PBE
State: relaxed Values from VASP.

Electronic total energy (eV per atom): -1.747
ΔE_f (eV per formula unit): 1.39
Fermi-level density of states (states/eV per cell): 2.5
Crystal system: orthorhombic

```
&SYSTEM
  ibrav = 0, nat = 4, ntyp = 3
/
ATOMIC_SPECIES
Tl 204.38 Tl.upf
Hg 200.59 Hg.upf
P 30.97 P.upf
CELL_PARAMETERS angstrom
2.076 -2.823 0.000
2.076 2.823 0.000
0.000 0.000 8.486
ATOMIC_POSITIONS angstrom
Tl 0.000 0.000 0.000
Hg 2.076 0.000 2.436
Hg 2.076 0.000 6.050
P 0.000 0.000 4.243
```

Material: BaTeWN2
Method: DFT, PBE
State: relaxed Values from VASP.

Electronic total energy (eV per atom): -6.830
Fermi-level density of states (states/eV per cell): 1.3
Crystal system: tetragonal
E_form (uncorrected) (meV per atom): 104

```
&SYSTEM
  ibrav = 0, nat = 5, ntyp = 4
/
ATOMIC_SPECIES
Ba 137.33 Ba.upf
Te 127.60 Te.upf
W 183.84 W.upf
N 14.01 N.upf
CELL_PARAMETERS angstrom
4.280 0.000 0.000
0.000 4.280 0.000
0.000 0.000 5.471
ATOMIC_POSITIONS angstrom
Ba 0.000 0.000 0.000
Te 2.140 2.140 0.000
W 2.140 2.140 2.735
N 0.000 2.140 2.735
N 2.140 0.000 2.735
```